Entry 1:
## Y2Er3Tl (PBE)

Data for an optimized crystal structure of Y2Er3Tl.

## Properties
The energy relative to the elements is -0.1091 eV/atom. As for the volume: 177 Å³/f.u. Its energy is -4.940 eV per atom. The density of states at the Fermi level is 1.05 states/eV per atom.

```
Y2Er3Tl
1.0
2.415 -7.535 0.000
2.415 7.535 0.000
0.000 0.000 4.872
Y Er Tl
2 3 1
direct
0.161 0.839 0.000
0.839 0.161 0.000
0.000 0.000 0.500
0.331 0.669 0.500
0.669 0.331 0.500
0.500 0.500 0.000
```

=====

Entry 2:
## Y8Er2Tl (PBE)

Data for an optimized crystal structure of Y8Er2Tl.

## Properties
The energy relative to the elements is -0.0397 eV/atom. As for the volume: 347 Å³/f.u. Its energy is -5.786 eV per atom. The density of states at the Fermi level is 1.50 states/eV per atom.

```
Y8Er2Tl
1.0
9.710 -2.784 0.000
9.710 2.784 0.000
-0.569 0.000 6.410
Y Er Tl
8 2 1
direct
0.045 0.045 0.266
0.155 0.155 0.801
0.338 0.338 0.876
0.421 0.421 0.401
0.579 0.579 0.599
0.662 0.662 0.124
0.845 0.845 0.199
0.955 0.955 0.734
0.243 0.243 0.337
0.757 0.757 0.663
0.500 0.500 0.000
```

=====

Entry 3:
## YEr2Tl (PBE)

Data for an optimized crystal structure of YEr2Tl.

## Properties
The energy relative to the elements is -0.1069 eV/atom. As for the volume: 120 Å³/f.u. Its energy is -4.596 eV per atom. The density of states at the Fermi level is 1.09 states/eV per atom.

```
YEr2Tl
1.0
1.774 1.024 10.986
-1.774 1.024 10.986
0.000 -2.048 10.986
Y Er Tl
1 2 1
direct
0.000 0.000 0.000
0.246 0.246 0.246
0.754 0.754 0.754
0.500 0.500 0.500
```

=====

Entry 4:
## YEr7Tl4 (PBE)

Data for an optimized crystal structure of YEr7Tl4.

## Properties
The energy relative to the elements is 0.0095 eV/atom. As for the volume: 353 Å³/f.u. Its energy is -3.980 eV per atom. The density of states at the Fermi level is 1.09 states/eV per atom.

```
YEr7Tl4
1.0
7.429 -2.866 0.000
7.429 2.866 0.000
-5.146 0.000 8.296
Y Er Tl
1 7 4
direct
0.000 0.000 0.000
0.069 0.069 0.409
0.206 0.206 0.879
0.258 0.258 0.306
0.500 0.500 0.000
0.742 0.742 0.694
0.794 0.794 0.121
0.931 0.931 0.591
0.315 0.315 0.662
0.451 0.451 0.286
0.549 0.549 0.714
0.685 0.685 0.338
```

=====

Entry 5:
## Y6Er3Tl (PBE)

Data for an optimized crystal structure of Y6Er3Tl.

## Properties
The energy relative to the elements is 0.0249 eV/atom. As for the volume: 314 Å³/f.u. Its energy is -5.459 eV per atom. The density of states at the Fermi level is 1.20 states/eV per atom.

```
Y6Er3Tl
1.0
5.215 -9.631 0.000
5.215 9.631 0.000
0.000 0.000 6.247
Y Er Tl
12 6 2
direct
0.038 0.430 0.013
0.057 0.943 0.500
0.290 0.710 0.739
0.292 0.368 0.835
0.368 0.292 0.335
0.430 0.038 0.513
0.570 0.962 0.013
0.632 0.708 0.835
0.708 0.632 0.335
0.710 0.290 0.239
0.943 0.057 0.000
0.962 0.570 0.513
0.044 0.291 0.483
0.291 0.044 0.983
0.394 0.606 0.302
0.606 0.394 0.802
0.709 0.956 0.483
0.956 0.709 0.983
0.237 0.763 0.232
0.763 0.237 0.732
```

=====

Entry 6:
## Y3Er7Tl2 (PBE)

Data for an optimized crystal structure of Y3Er7Tl2.

## Properties
The energy relative to the elements is -0.0254 eV/atom. As for the volume: 366 Å³/f.u. Its energy is -4.697 eV per atom. The density of states at the Fermi level is 1.00 states/eV per atom.

```
Y3Er7Tl2
1.0
5.582 0.000 0.000
0.000 3.595 0.000
-1.073 0.000 18.218
Y Er Tl
3 7 2
direct
0.000 0.000 0.000
0.274 0.500 0.633
0.726 0.500 0.367
0.167 0.500 0.149
0.242 0.000 0.459
0.332 0.000 0.831
0.500 0.500 0.000
0.668 0.000 0.169
0.758 0.000 0.541
0.833 0.500 0.851
0.208 0.000 0.292
0.792 0.000 0.708
```

=====

Entry 7:
## YEr4Tl7 (PBE)

Data for an optimized crystal structure of YEr4Tl7.

## Properties
The energy relative to the elements is -0.0947 eV/atom. As for the volume: 358 Å³/f.u. Its energy is -3.535 eV per atom. The density of states at the Fermi level is 0.52 states/eV per atom.

```
YEr4Tl7
1.0
6.744 -2.829 0.000
6.744 2.829 0.000
-6.263 0.000 9.387
Y Er Tl
1 4 7
direct
0.000 0.000 0.000
0.283 0.283 0.674
0.416 0.416 0.216
0.584 0.584 0.784
0.717 0.717 0.326
0.082 0.082 0.329
0.213 0.213 0.894
0.366 0.366 0.453
0.500 0.500 0.000
0.634 0.634 0.547
0.787 0.787 0.106
0.918 0.918 0.671
```

=====

Entry 8:
## Y8ErTl2 (PBE)

Data for an optimized crystal structure of Y8ErTl2.

## Properties
The energy relative to the elements is -0.0223 eV/atom. As for the volume: 350 Å³/f.u. Its energy is -5.568 eV per atom. The density of states at the Fermi level is 1.49 states/eV per atom.

```
Y8ErTl2
1.0
4.472 -7.560 0.000
4.472 7.560 0.000
-2.216 0.000 5.170
Y Er Tl
8 1 2
direct
0.093 0.322 0.614
0.218 0.782 0.000
0.322 0.093 0.614
0.399 0.399 0.202
0.601 0.601 0.798
0.678 0.907 0.386
0.782 0.218 0.000
0.907 0.678 0.386
0.000 0.000 0.000
0.306 0.694 0.500
0.694 0.306 0.500
```

=====

Entry 9:
## Y5ErTl3 (PBE)

Data for an optimized crystal structure of Y5ErTl3.

## Properties
The energy relative to the elements is -0.2906 eV/atom. As for the volume: 257 Å³/f.u. Its energy is -5.177 eV per atom. The density of states at the Fermi level is 1.15 states/eV per atom.

```
Y5ErTl3
1.0
9.371 0.000 0.000
-4.686 8.116 0.000
0.000 0.000 6.745
Y Er Tl
10 2 6
direct
0.000 0.330 0.250
0.000 0.670 0.750
0.330 0.000 0.250
0.330 0.330 0.750
0.333 0.667 0.000
0.333 0.667 0.500
0.667 0.333 0.000
0.667 0.333 0.500
0.670 0.000 0.750
0.670 0.670 0.250
0.000 0.000 0.000
0.000 0.000 0.500
0.000 0.336 0.750
0.000 0.664 0.250
0.336 0.000 0.750
0.336 0.336 0.250
0.664 0.000 0.250
0.664 0.664 0.750
```

=====

Entry 10:
## Y3Er3Tl2 (PBE)

Data for an optimized crystal structure of Y3Er3Tl2.

## Properties
The energy relative to the elements is -0.1098 eV/atom. As for the volume: 244 Å³/f.u. Its energy is -4.836 eV per atom. The density of states at the Fermi level is 1.42 states/eV per atom.

```
Y3Er3Tl2
1.0
2.511 -5.905 0.000
2.511 5.905 0.000
0.000 0.000 16.452
Y Er Tl
6 6 4
direct
0.045 0.955 0.604
0.045 0.955 0.896
0.276 0.724 0.750
0.724 0.276 0.250
0.955 0.045 0.104
0.955 0.045 0.396
0.361 0.639 0.537
0.361 0.639 0.963
0.442 0.558 0.250
0.558 0.442 0.750
0.639 0.361 0.037
0.639 0.361 0.463
0.234 0.766 0.131
0.234 0.766 0.369
0.766 0.234 0.631
0.766 0.234 0.869
```

=====

Entry 11:
## YEr2Tl (PBE)

Data for an optimized crystal structure of YEr2Tl.

## Properties
The energy relative to the elements is -0.1120 eV/atom. As for the volume: 121 Å³/f.u. Its energy is -4.601 eV per atom. The density of states at the Fermi level is 1.20 states/eV per atom.

```
YEr2Tl
1.0
1.794 1.036 10.839
-1.794 1.036 10.839
0.000 -2.071 10.839
Y Er Tl
1 2 1
direct
0.000 0.000 0.000
0.245 0.245 0.245
0.421 0.421 0.421
0.833 0.833 0.833
```

=====

Entry 12:
## Y5ErTl4 (PBE)

Data for an optimized crystal structure of Y5ErTl4.

## Properties
The energy relative to the elements is -0.3002 eV/atom. As for the volume: 284 Å³/f.u. Its energy is -4.935 eV per atom. The density of states at the Fermi level is 0.78 states/eV per atom.

```
Y5ErTl4
1.0
3.639 0.000 0.000
0.000 3.639 0.000
0.000 0.000 21.472
Y Er Tl
5 1 4
direct
0.000 0.000 0.000
0.000 0.000 0.194
0.000 0.000 0.387
0.000 0.000 0.613
0.000 0.000 0.806
0.500 0.500 0.500
0.500 0.500 0.097
0.500 0.500 0.291
0.500 0.500 0.709
0.500 0.500 0.903
```

=====

Entry 13:
## YEr2Tl2 (PBE)

Data for an optimized crystal structure of YEr2Tl2.

## Properties
The energy relative to the elements is -0.2825 eV/atom. As for the volume: 140 Å³/f.u. Its energy is -4.347 eV per atom. The density of states at the Fermi level is 0.71 states/eV per atom.

```
YEr2Tl2
1.0
5.242 0.000 0.000
-2.616 6.059 0.000
-0.007 -2.276 8.789
Y Er Tl
2 4 4
direct
0.067 0.133 0.354
0.933 0.867 0.646
0.251 0.501 0.752
0.433 0.864 0.142
0.567 0.136 0.858
0.749 0.499 0.248
0.135 0.272 0.043
0.363 0.728 0.452
0.637 0.272 0.548
0.865 0.728 0.957
```

=====

Entry 14:
## YEr2Tl (PBE)

Data for an optimized crystal structure of YEr2Tl.

## Properties
The energy relative to the elements is -0.1672 eV/atom. As for the volume: 118 Å³/f.u. Its energy is -4.656 eV per atom. The density of states at the Fermi level is 1.18 states/eV per atom.

```
YEr2Tl
1.0
3.609 0.000 0.000
0.000 3.609 0.000
0.000 0.000 9.071
Y Er Tl
1 2 1
direct
0.000 0.000 0.000
0.500 0.500 0.272
0.500 0.500 0.728
0.000 0.000 0.500
```

=====

Entry 15:
## Y12Er7Tl (PBE)

Data for an optimized crystal structure of Y12Er7Tl.

## Properties
The energy relative to the elements is 0.0460 eV/atom. As for the volume: 627 Å³/f.u. Its energy is -5.548 eV per atom. The density of states at the Fermi level is 1.89 states/eV per atom.

```
Y12Er7Tl
1.0
6.750 3.897 3.971
-6.750 3.897 3.971
0.000 -7.794 3.971
Y Er Tl
12 7 1
direct
0.000 0.260 0.740
0.000 0.740 0.260
0.158 0.160 0.420
0.160 0.420 0.158
0.260 0.000 0.740
0.260 0.740 0.000
0.420 0.158 0.160
0.580 0.842 0.840
0.740 0.000 0.260
0.740 0.260 0.000
0.840 0.580 0.842
0.842 0.840 0.580
0.000 0.000 0.000
0.178 0.596 0.596
0.404 0.404 0.822
0.404 0.822 0.404
0.596 0.178 0.596
0.596 0.596 0.178
0.822 0.404 0.404
0.500 0.500 0.500
```

=====

Entry 16:
## Y2ErTl3 (PBE)

Data for an optimized crystal structure of Y2ErTl3.

## Properties
The energy relative to the elements is -0.3566 eV/atom. As for the volume: 163 Å³/f.u. Its energy is -4.455 eV per atom. The density of states at the Fermi level is 0.71 states/eV per atom.

```
Y2ErTl3
1.0
3.756 0.000 0.000
0.000 3.756 0.000
0.000 0.000 11.568
Y Er Tl
2 1 3
direct
0.000 0.000 0.168
0.000 0.000 0.832
0.000 0.000 0.500
0.500 0.500 0.000
0.500 0.500 0.336
0.500 0.500 0.664
```

=====

Entry 17:
## Y2Er2Tl3 (PBE)

Data for an optimized crystal structure of Y2Er2Tl3.

## Properties
The energy relative to the elements is -0.2542 eV/atom. As for the volume: 199 Å³/f.u. Its energy is -4.419 eV per atom. The density of states at the Fermi level is 1.03 states/eV per atom.

```
Y2Er2Tl3
1.0
6.508 -1.880 0.000
6.508 1.880 0.000
-1.522 0.000 8.123
Y Er Tl
2 2 3
direct
0.202 0.202 0.151
0.798 0.798 0.849
0.068 0.068 0.720
0.932 0.932 0.280
0.355 0.355 0.544
0.500 0.500 0.000
0.645 0.645 0.456
```

=====

Entry 18:
## Y12Er5Tl2 (PBE)

Data for an optimized crystal structure of Y12Er5Tl2.

## Properties
The energy relative to the elements is 0.0187 eV/atom. As for the volume: 598 Å³/f.u. Its energy is -5.514 eV per atom. The density of states at the Fermi level is 1.57 states/eV per atom.

```
Y12Er5Tl2
1.0
7.660 -4.722 0.000
7.660 4.722 0.000
-0.206 0.000 8.270
Y Er Tl
12 5 2
direct
0.051 0.051 0.316
0.073 0.677 0.346
0.163 0.533 0.767
0.323 0.927 0.654
0.413 0.413 0.117
0.467 0.837 0.233
0.533 0.163 0.767
0.587 0.587 0.883
0.677 0.073 0.346
0.837 0.467 0.233
0.927 0.323 0.654
0.949 0.949 0.684
0.185 0.185 0.002
0.264 0.264 0.417
0.500 0.500 0.500
0.736 0.736 0.583
0.815 0.815 0.998
0.192 0.808 0.000
0.808 0.192 0.000
```

=====

Entry 19:
## Y3ErTl5 (PBE)

Data for an optimized crystal structure of Y3ErTl5.

## Properties
The energy relative to the elements is -0.3138 eV/atom. As for the volume: 249 Å³/f.u. Its energy is -4.290 eV per atom. The density of states at the Fermi level is 0.86 states/eV per atom.

```
Y3ErTl5
1.0
9.349 0.000 0.000
-4.674 8.096 0.000
0.000 0.000 6.577
Y Er Tl
6 2 10
direct
0.000 0.370 0.250
0.000 0.630 0.750
0.370 0.000 0.250
0.370 0.370 0.750
0.630 0.000 0.750
0.630 0.630 0.250
0.000 0.000 0.000
0.000 0.000 0.500
0.000 0.296 0.750
0.000 0.704 0.250
0.296 0.000 0.750
0.296 0.296 0.250
0.333 0.667 0.000
0.333 0.667 0.500
0.667 0.333 0.000
0.667 0.333 0.500
0.704 0.000 0.250
0.704 0.704 0.750
```

=====

Entry 20:
## YErTl2 (PBE)

Data for an optimized crystal structure of YErTl2.

## Properties
The energy relative to the elements is -0.3459 eV/atom. As for the volume: 108 Å³/f.u. Its energy is -4.286 eV per atom. The density of states at the Fermi level is 0.68 states/eV per atom.

```
YErTl2
1.0
3.779 0.000 0.000
0.000 3.779 0.000
0.000 0.000 7.560
Y Er Tl
1 1 2
direct
0.000 0.000 0.000
0.000 0.000 0.500
0.500 0.500 0.253
0.500 0.500 0.747
```

=====

Entry 21:
## YErTl3 (PBE)

Data for an optimized crystal structure of YErTl3.

## Properties
The energy relative to the elements is -0.0322 eV/atom. As for the volume: 151 Å³/f.u. Its energy is -3.657 eV per atom. The density of states at the Fermi level is 0.71 states/eV per atom.

```
YErTl3
1.0
3.695 -6.392 0.000
3.695 6.392 0.000
0.000 0.000 6.388
Y Er Tl
2 2 6
direct
0.166 0.834 0.750
0.834 0.166 0.250
0.500 0.500 0.000
0.500 0.500 0.500
0.102 0.301 0.750
0.301 0.102 0.250
0.301 0.699 0.250
0.699 0.301 0.750
0.699 0.898 0.750
0.898 0.699 0.250
```